Entry 1:
BePdPt: optimized geometry, GGA-PBE.

Properties
Density = 13.461 g/cm3
SG = No. 107
ΔE to the lowest computed polymorph = 0.00 eV per formula unit

```
BePdPt
1.0
-1.386 1.386 4.986
1.386 -1.386 4.986
1.386 1.386 -4.986
Be Pd Pt
1 1 1
direct
0.000 0.000 0.000
0.352 0.352 0.000
0.638 0.638 0.000
```

---

Entry 2:
Be2PdPt: optimized geometry, GGA-PBE.

Properties
Density = 11.642 g/cm3
SG = No. 74
ΔE to the lowest computed polymorph = 0.00 eV per formula unit

```
Be2PdPt
1.0
-2.793 2.894 2.819
2.793 -2.894 2.819
2.793 2.894 -2.819
Be Pd Pt
4 2 2
direct
0.000 0.249 0.249
0.000 0.751 0.751
0.500 0.249 0.749
0.500 0.751 0.251
0.500 0.250 0.250
0.500 0.750 0.750
0.000 0.250 0.750
0.000 0.750 0.250
```

---

Entry 3:
Be2PdPt3: optimized geometry, GGA-PBE.

Properties
VASP energy = -5.706 eV/atom
Density = 15.294 g/cm3
SG = No. 99

```
Be2PdPt3
1.0
2.776 0.000 0.000
0.000 2.776 0.000
0.000 0.000 10.002
Be Pd Pt
2 1 3
direct
0.000 0.000 0.000
0.500 0.500 0.500
0.000 0.000 0.646
0.000 0.000 0.361
0.500 0.500 0.145
0.500 0.500 0.857
```

---

Entry 4:
BePdPt: optimized geometry, GGA-PBE.

Properties
Density = 12.483 g/cm3
SG = No. 216
ΔE to the lowest computed polymorph = 0.37 eV per formula unit

```
BePdPt
1.0
0.000 2.744 2.744
2.744 0.000 2.744
2.744 2.744 0.000
Be Pd Pt
1 1 1
direct
0.000 0.000 0.000
0.750 0.750 0.750
0.250 0.250 0.250
```

---

Entry 5:
Be2PdPt: optimized geometry, GGA-PBE.

Properties
Density = 11.640 g/cm3
SG = No. 139
ΔE to the lowest computed polymorph = 0.00 eV per formula unit

```
Be2PdPt
1.0
-2.007 2.007 2.830
2.007 -2.007 2.830
2.007 2.007 -2.830
Be Pd Pt
2 1 1
direct
0.250 0.750 0.500
0.750 0.250 0.500
0.000 0.000 0.000
0.500 0.500 0.000
```

---

Entry 6:
RbBePd: optimized geometry, GGA-PBE.

Properties
Density = 4.218 g/cm3
SG = No. 216
ΔE to the lowest computed polymorph = 0.00 eV per formula unit

```
RbBePd
1.0
0.000 3.407 3.407
3.407 0.000 3.407
3.407 3.407 0.000
Rb Be Pd
1 1 1
direct
0.000 0.000 0.000
0.500 0.500 0.500
0.750 0.750 0.750
```